A plane-wave DFT calculation with PBE-GGA was carried out for AlPdPtAu after structural relaxation.

a b c (Å): 2.9399 2.9399 7.2219
angles (deg): 90.00 90.00 90.00
Last column: nearest neighbours and their distance in Å.
Fractional positions:
Al1 0.0000 0.0000 0.5708  4 Pt 2.58, 4 Pd 2.60
Au1 0.0000 0.0000 0.0683  4 Pd 2.91, 4 Au 2.94, 4 Pt 2.95
Pt1 0.5000 0.5000 0.3587  4 Al 2.58
Pd1 0.5000 0.5000 0.7869  4 Al 2.60, 4 Au 2.91

Computed properties:
SG	P4mm (99)
energy of formation	-0.62	eV per atom
N(E_F)	0.31	states/eV per atom

A plane-wave DFT calculation with PBE-GGA was carried out for TaPdBrF2 after structural relaxation.

a b c (Å): 4.0272 6.3726 4.0272
angles (deg): 90.00 90.00 90.00
Last column: nearest neighbours and their distance in Å.
Fractional positions:
Ta1 0.5000 0.5000 0.5000  4 Br 2.85
F1 0.5000 0.0000 0.0000  2 Pd 2.01
Br1 0.0000 0.5000 0.0000  4 Ta 2.85, 2 Pd 3.19
Pd1 0.0000 0.0000 0.0000  4 F 2.01
F2 0.0000 0.0000 0.5000  2 Pd 2.01

Computed properties:
raw formation energy	0.085	eV per atom
SG	P4/mmm (123)
N(E_F)	0.83	states/eV per atom

A plane-wave DFT calculation with PBE-GGA was carried out for Tb3Pr6Sc2 after structural relaxation.

a b c (Å): 6.2453 6.2535 11.3597
angles (deg): 84.72 79.39 60.04
Last column: nearest neighbours and their distance in Å.
Fractional positions:
Pr1 0.7521 0.0000 0.7355  2 Sc 3.36, 6 Pr 3.58-3.63, 3 Tb 3.61-3.62
Pr2 0.2479 0.0000 0.2645  2 Sc 3.36, 6 Pr 3.58-3.63, 3 Tb 3.61-3.62
Sc1 0.8331 0.3337 0.5000  6 Pr 3.36, 3 Sc 3.61-3.62
Pr3 0.4213 0.6692 0.7354  2 Sc 3.36, 6 Pr 3.58-3.63, 3 Tb 3.61-3.62
Pr4 0.0904 0.3308 0.7354  2 Sc 3.36, 6 Pr 3.58-3.63, 3 Tb 3.61-3.62
Tb1 0.6665 0.6671 0.0000  6 Tb 3.61, 6 Pr 3.61-3.62
Pr5 0.5787 0.3308 0.2646  2 Sc 3.36, 6 Pr 3.58-3.63, 3 Tb 3.61-3.62
Sc2 0.1669 0.6663 0.5000  6 Pr 3.36, 3 Sc 3.61-3.62
Tb2 0.0000 0.0000 0.0000  6 Tb 3.61, 6 Pr 3.61-3.62
Tb3 0.3335 0.3329 0.0000  6 Tb 3.61, 6 Pr 3.61-3.62
Pr6 0.9096 0.6692 0.2646  2 Sc 3.36, 6 Pr 3.58-3.63, 3 Tb 3.61-3.62

Computed properties:
SG	C2/m (12)
energy of formation	0.19	eV per atom
N(E_F)	1.37	states/eV per atom

A plane-wave DFT calculation with PBE-GGA was carried out for La2Tb4Pr3 after structural relaxation.

a b c (Å): 3.6477 3.6477 27.2529
angles (deg): 90.00 90.00 120.00
Last column: nearest neighbours and their distance in Å.
Fractional positions:
Tb1 0.6667 0.3333 0.4373  9 Tb 3.50-3.65, 3 Pr 3.70
Pr1 0.0000 0.0000 0.3256  6 Tb 3.55-3.70, 6 Pr 3.65
Pr2 0.0000 0.0000 0.9841  6 Pr 3.65, 6 La 3.69-3.83
Pr3 0.6667 0.3333 0.6497  6 Tb 3.62-3.66, 6 Pr 3.65
Tb2 0.6667 0.3333 0.2205  1 La 3.41, 3 Pr 3.55, 6 Tb 3.65
La1 0.6667 0.3333 0.8666  3 Tb 3.63, 6 La 3.65, 3 Pr 3.83
La2 0.6667 0.3333 0.0953  1 Tb 3.41, 6 La 3.65, 3 Pr 3.69
Tb3 0.0000 0.0000 0.7580  3 Pr 3.62, 3 La 3.63, 6 Tb 3.65
Tb4 0.0000 0.0000 0.5400  9 Tb 3.50-3.65, 3 Pr 3.66

Computed properties:
SG	P3m1 (156)
ΔE to the lowest computed polymorph	0.37	eV/f.u.
energy of formation	0.06	eV per atom
N(E_F)	1.80	states/eV per atom

Question: The lowest N(E_F) belongs to which entry?
Answer: AlPdPtAu

Question: Number 3 is which compound?
Answer: Tb3Pr6Sc2